No. 1
VASP calculation (PBE) on a relaxed structure of Li2CuBr2Cl.

Cell and atoms, written as extended XYZ:
```
12
Lattice="6.1471 -3.4890 0.0000 6.1471 3.4890 0.0000 0.0000 0.0000 6.5503" Properties=species:S:1:pos:R:3 pbc="T T T"
Li 4.2015 2.2371 3.2752
Li 8.0927 2.2371 3.2752
Li 4.2015 -2.2371 0.0000
Li 8.0927 -2.2371 0.0000
Cu 6.1471 1.0971 0.1929
Cu 6.1471 -1.0971 3.4681
Br 4.1602 2.2914 5.8310
Br 8.1341 2.2914 5.8310
Br 4.1602 -2.2914 2.5559
Br 8.1341 -2.2914 2.5559
Cl 6.1471 1.0674 2.5116
Cl 6.1471 -1.0674 5.7867
```

Summary:
- V: 23.4 Å³/atom
- M_tot: 0.191 μB per cell
- Formation energy from raw total energies: -1.18 eV per atom

=====

No. 2
VASP calculation (PBE) on a relaxed structure of NdDy12Sc7.

Cell and atoms, written as extended XYZ:
```
20
Lattice="-5.4892 5.4892 5.4892 5.4892 -5.4892 5.4892 5.4892 5.4892 -5.4892" Properties=species:S:1:pos:R:3 pbc="T T T"
Nd 0.0000 0.0000 0.0000
Dy 5.4892 2.5801 -2.5698
Dy 2.9194 0.0000 2.9091
Dy 8.0591 0.0000 2.9091
Dy 2.9091 2.9194 0.0000
Dy 2.5801 -2.5698 5.4892
Dy 5.4892 2.5801 2.5698
Dy 0.0000 2.9091 2.9194
Dy 2.9091 8.0591 0.0000
Dy 2.5801 2.5698 5.4892
Dy -2.5698 5.4892 2.5801
Dy 2.5698 5.4892 2.5801
Dy 0.0000 2.9091 8.0591
Sc 2.7446 2.7446 -2.7446
Sc 2.7446 -2.7446 2.7446
Sc 5.4892 0.0000 0.0000
Sc -2.7446 2.7446 2.7446
Sc 0.0000 5.4892 0.0000
Sc 0.0000 0.0000 5.4892
Sc 2.7446 2.7446 2.7446
```

Summary:
- V: 33.1 Å³/atom
- M_tot: 0.004 μB per cell
- E_form: 0.67 eV/atom
- Energy relative to the lowest polymorph listed for this composition: 0.511 eV per atom

=====

No. 3
VASP calculation (PBE) on a relaxed structure of MgTaCdTc2.

Cell and atoms, written as extended XYZ:
```
5
Lattice="4.8930 0.0000 0.0000 0.0000 4.8930 0.0000 0.0000 0.0000 4.4253" Properties=species:S:1:pos:R:3 pbc="T T T"
Mg 0.0000 0.0000 0.0000
Ta 2.4465 2.4465 0.0000
Cd 0.0000 0.0000 2.2127
Tc 0.0000 2.4465 2.2127
Tc 2.4465 0.0000 2.2127
```

Summary:
- V: 21.2 Å³/atom
- M_tot: 1.533 μB per cell
- E_form: 1.90 eV/atom
- Energy relative to the lowest polymorph listed for this composition: 0.540 eV per atom

=====

No. 4
VASP calculation (PBE) on a relaxed structure of H3RhAu.

Cell and atoms, written as extended XYZ:
```
5
Lattice="3.5087 0.0000 0.0000 0.0000 3.5087 0.0000 0.0000 0.0000 3.5087" Properties=species:S:1:pos:R:3 pbc="T T T"
H 0.0000 0.0000 1.7544
H 0.0000 1.7544 0.0000
H 1.7544 0.0000 0.0000
Rh 0.0000 0.0000 0.0000
Au 1.7544 1.7544 1.7544
```

Summary:
- V: 8.6 Å³/atom
- M_tot: 0.000 μB per cell
- Energy relative to the lowest polymorph listed for this composition: 0.035 eV per atom

=====

No. 5
VASP calculation (PBE) on a relaxed structure of La2Zn2As.

Cell and atoms, written as extended XYZ:
```
10
Lattice="7.3283 0.0000 0.0000 0.0000 7.3283 0.0000 0.0000 0.0000 4.5917" Properties=species:S:1:pos:R:3 pbc="T T T"
La 1.2864 2.3778 0.0000
La 2.3778 6.0419 0.0000
La 4.9505 1.2864 0.0000
La 6.0419 4.9505 0.0000
Zn 0.9028 4.5670 2.2959
Zn 2.7613 0.9028 2.2959
Zn 4.5670 6.4254 2.2959
Zn 6.4254 2.7613 2.2959
As 0.0000 0.0000 2.2959
As 3.6641 3.6641 2.2959
```

Summary:
- V: 24.7 Å³/atom
- M_tot: 0.000 μB per cell
- E_form: -0.50 eV/atom
- Energy relative to the lowest polymorph listed for this composition: 0.056 eV per atom

=====

No. 6
VASP calculation (PBE) on a relaxed structure of Cu2AsRu.

Cell and atoms, written as extended XYZ:
```
4
Lattice="2.7013 0.0000 0.0000 0.0000 2.7013 0.0000 0.0000 0.0000 7.8870" Properties=species:S:1:pos:R:3 pbc="T T T"
Cu 0.0000 0.0000 1.8677
Cu 0.0000 0.0000 6.0193
As 1.3507 1.3507 3.9435
Ru 1.3507 1.3507 0.0000
```

Summary:
- V: 14.4 Å³/atom
- M_tot: 1.195 μB per cell
- E_form: 0.33 eV/atom

=====

No. 7
VASP calculation (PBE) on a relaxed structure of CsAs2Rh.

Cell and atoms, written as extended XYZ:
```
4
Lattice="0.0000 3.5518 3.5518 3.5518 0.0000 3.5518 3.5518 3.5518 0.0000" Properties=species:S:1:pos:R:3 pbc="T T T"
Cs 0.0000 0.0000 0.0000
As 1.7759 1.7759 1.7759
As 5.3276 5.3276 5.3276
Rh 3.5518 3.5518 3.5518
```

Summary:
- V: 22.4 Å³/atom
- M_tot: 0.000 μB per cell
- E_form: 0.65 eV/atom
- Energy relative to the lowest polymorph listed for this composition: 1.019 eV per atom

=====

No. 8
VASP calculation (PBE) on a relaxed structure of Tc3Br.

Cell and atoms, written as extended XYZ:
```
4
Lattice="-1.9278 1.9278 4.1561 1.9278 -1.9278 4.1561 1.9278 1.9278 -4.1561" Properties=species:S:1:pos:R:3 pbc="T T T"
Tc 0.0000 0.0000 0.0000
Tc 1.9278 0.0000 2.0781
Tc 0.0000 1.9278 2.0781
Br 0.0000 0.0000 4.1561
```

Summary:
- V: 15.4 Å³/atom
- M_tot: 0.000 μB per cell
- Formation energy from raw total energies: 1.06 eV per atom
- Energy relative to the lowest polymorph listed for this composition: 0.546 eV per atom

=====

No. 9
VASP calculation (PBE) on a relaxed structure of TbPr3Dy.

Cell and atoms, written as extended XYZ:
```
10
Lattice="6.3964 0.0000 0.0000 0.0000 5.8641 0.0000 -3.1971 0.0000 9.2670" Properties=species:S:1:pos:R:3 pbc="T T T"
Tb -0.5544 1.4660 2.7931
Tb 3.7538 4.3981 6.4739
Pr 0.5307 4.3981 0.9542
Pr 0.5261 4.3981 4.6366
Pr 2.6710 1.4660 0.9493
Pr 0.5283 4.3981 8.3177
Pr 2.6732 1.4660 4.6303
Pr 2.6686 1.4660 8.3128
Dy -0.5552 1.4660 6.4699
Dy 3.7545 4.3981 2.7970
```

Summary:
- V: 34.8 Å³/atom
- M_tot: 0.000 μB per cell
- E_form: 0.03 eV/atom
- Energy relative to the lowest polymorph listed for this composition: 0.000 eV per atom

=====

No. 10
VASP calculation (PBE) on a relaxed structure of Hg2Bi4Pb5.

Cell and atoms, written as extended XYZ:
```
11
Lattice="12.2516 -2.4312 0.0000 12.2516 2.4312 0.0000 -1.0494 0.0000 7.3389" Properties=species:S:1:pos:R:3 pbc="T T T"
Hg 5.7315 0.0000 0.8226
Hg 17.7223 0.0000 6.5163
Bi -0.1175 0.0000 1.5367
Bi 7.9035 0.0000 3.0462
Bi 15.5502 0.0000 4.2927
Bi 23.5713 0.0000 5.8022
Pb 2.1945 0.0000 6.0425
Pb 2.8931 0.0000 2.3003
Pb 11.7269 0.0000 3.6694
Pb 20.5607 0.0000 5.0386
Pb 21.2593 0.0000 1.2964
```

Summary:
- V: 39.7 Å³/atom
- M_tot: 0.000 μB per cell
- E_form: 0.12 eV/atom
- Energy relative to the lowest polymorph listed for this composition: 0.052 eV per atom

=====

No. 11
VASP calculation (PBE) on a relaxed structure of U2Mn5P3.

Cell and atoms, written as extended XYZ:
```
20
Lattice="1.9231 -11.5324 0.0000 1.9231 11.5324 0.0000 0.0000 0.0000 6.1687" Properties=species:S:1:pos:R:3 pbc="T T T"
U 1.9231 11.2419 3.0843
U 1.9231 4.0845 3.0775
U 1.9231 -4.0845 6.1618
U 1.9231 -11.2419 0.0000
Mn 1.9231 9.1115 0.9094
Mn 1.9231 6.8030 1.6415
Mn 1.9231 6.7205 4.1166
Mn 1.9231 2.9733 6.0900
Mn 1.9231 1.3090 2.1250
Mn 1.9231 -1.3090 5.2094
Mn 1.9231 -2.9733 3.0056
Mn 1.9231 -6.7205 1.0323
Mn 1.9231 -6.8030 4.7259
Mn 1.9231 -9.1115 3.9937
P 1.9231 8.9614 4.6693
P 1.9231 5.3009 5.9777
P 1.9231 1.2687 4.4404
P 1.9231 -1.2687 1.3561
P 1.9231 -5.3009 2.8934
P 1.9231 -8.9614 1.5850
```

Summary:
- V: 13.7 Å³/atom
- M_tot: 2.734 μB per cell
- E_form: -0.52 eV/atom

=====

No. 12
VASP calculation (PBE) on a relaxed structure of TbYSc.

Cell and atoms, written as extended XYZ:
```
6
Lattice="3.3263 0.0000 0.0000 0.0000 5.6783 0.0000 0.0000 0.0000 9.6572" Properties=species:S:1:pos:R:3 pbc="T T T"
Tb 0.8316 1.4196 2.3186
Tb 2.4947 4.2587 7.3386
Y 0.8316 4.2587 4.1746
Y 2.4947 1.4196 5.4825
Sc 0.8316 4.2587 0.5837
Sc 2.4947 1.4196 9.0734
```

Summary:
- V: 30.4 Å³/atom
- M_tot: 0.000 μB per cell
- E_form: 0.23 eV/atom
- Energy relative to the lowest polymorph listed for this composition: 0.184 eV per atom